VASP calculation (PBE) on a geometry-optimized LaRe2Pb structure.

Cell lengths 3.073, 3.073, 9.450 Å; angles 90.00, 90.00, 113.48 degrees
Atoms (fractional coordinates):
La (0.500, 0.500, 0.250)
Pb (0.500, 0.500, 0.750)
Re (0.000, 0.000, 0.994)
Re (0.000, 0.000, 0.506)

Formation energy from the elements, eV/atom: 1.02
Size of the total moment, μB/f.u.: 0.00
Space group: Cmmm
Volume, Å³/f.u.: 81.9


VASP calculation (PBE) on a geometry-optimized LaRePb4 structure.

Cell lengths 6.345, 6.345, 6.345 Å; angles 60.00, 60.00, 60.00 degrees
Each line ends with the local moment (μB).
Atoms (fractional coordinates):
La (0.000, 0.000, 0.000)  -0.02
Re (0.750, 0.750, 0.750)  2.90
Pb (0.874, 0.375, 0.375)  -0.01
Pb (0.375, 0.375, 0.874)  -0.01
Pb (0.375, 0.874, 0.375)  -0.01
Pb (0.375, 0.375, 0.375)  -0.01

Formation energy from the elements, eV/atom: 0.76
Size of the total moment, μB/f.u.: 3.39
Space group: F-43m
Volume, Å³/f.u.: 180.6


VASP calculation (PBE) on a geometry-optimized LaRe2Pb structure.

Cell lengths 3.163, 3.163, 8.677 Å; angles 90.00, 90.00, 90.00 degrees
Atoms (fractional coordinates):
La (0.000, 0.000, 0.458)
Pb (0.500, 0.500, 0.797)
Re (0.000, 0.000, 0.043)
Re (0.500, 0.500, 0.202)

Formation energy from the elements, eV/atom: 0.18
Size of the total moment, μB/f.u.: 0.00
Space group: P4mm
Volume, Å³/f.u.: 86.8